First-principles (GGA-PBE) data for an optimized crystal structure of Na2TcOsPb, as listed in Alexandria via LeMat-Bulk.

POSCAR file:
```
Na2TcOsPb
1.0
5.3400 0.0000 0.0000
0.0000 5.3400 0.0000
0.0000 0.0000 5.2025
Na Tc Os Pb
2 1 1 1
Cartesian
0.0000 2.6700 0.0000
2.6700 0.0000 0.0000
0.0000 0.0000 2.6012
2.6700 2.6700 0.0000
2.6700 2.6700 2.6012
```

## Properties
- Volume: 29.7 Å³ per atom
- ΔE to the lowest computed polymorph: 434 meV/atom